Arrangement one

DFT (PBE) results for a relaxed structure of ScAlPd6.

Results
SG = P4/mmm (123)

Structure (extended XYZ):
```
8
Lattice="-0.8891 3.2919 -2.0330 -0.9731 -2.2092 -3.1516 -7.4272 -0.4117 2.5818" Properties=species:S:1:pos:R:3 pbc="T T T"
Pd -4.6447 0.3355 -1.3014
Pd -0.9311 0.5413 -2.5923
Pd -5.9477 1.3409 0.8965
Pd -5.9897 -1.4096 0.3372
Pd -2.3686 1.5393 -0.3477
Pd -2.4106 -1.2112 -0.9070
Al -3.7136 -0.2058 1.2909
Sc 0.0000 0.0000 0.0000
```

Arrangement two

DFT (PBE) results for a relaxed structure of ScAlPd6.

Results
SG = P-1 (2)

Structure (extended XYZ):
```
8
Lattice="6.9580 0.2631 -0.4707 3.6577 6.5928 -0.3151 3.3405 2.3157 2.6631" Properties=species:S:1:pos:R:3 pbc="T T T"
Sc 0.0000 0.0000 0.0000
Pd 5.2139 2.4722 0.5016
Pd 11.0105 5.2258 1.8273
Pd 2.7173 0.9715 0.4391
Pd 2.9457 3.9459 0.0499
Pd 8.7423 6.6994 1.3756
Pd 11.2388 8.2001 1.4381
Al 6.9781 4.5858 0.9386
```

Consider the structures shown above. The most stable of them is arrangement one.